Entry 1:
This record from Alexandria via LeMat-Bulk describes a relaxed structure of InPdN2Cl. The functional is PBE.

Unit cell a=4.236 b=4.236 c=5.419 alpha=90.00 beta=90.00 gamma=90.00
Element x y z (fractional)
In: 0.000 0.000 0.000
Pd: 0.500 0.500 0.500
N: 0.000 0.500 0.000
N: 0.500 0.000 0.000
Cl: 0.000 0.000 0.500

Output
magnetization = 4.0 μB/f.u.
space group = P4/mmm (123)

***

Entry 2:
This record from Alexandria via LeMat-Bulk describes a relaxed structure of InRe2NCl. The functional is PBE.

Unit cell a=4.269 b=4.269 c=5.614 alpha=90.00 beta=90.00 gamma=90.00
Element x y z (fractional)
In: 0.000 0.000 0.000
Re: 0.000 0.500 0.500
Re: 0.500 0.000 0.500
N: 0.500 0.500 0.000
Cl: 0.000 0.000 0.500

Output
magnetization = 1.2 μB/f.u.
space group = P4/mmm (123)

***

Entry 3:
This record from Alexandria via LeMat-Bulk describes a relaxed structure of InS2NCl. The functional is PBE.

Unit cell a=5.253 b=5.253 c=5.288 alpha=90.00 beta=90.00 gamma=90.00
Element x y z (fractional)
In: 0.000 0.000 0.000
S: 0.000 0.500 0.000
S: 0.500 0.000 0.000
N: 0.500 0.500 0.500
Cl: 0.000 0.000 0.500

Output
magnetization = 0.9 μB/f.u.
space group = P4/mmm (123)

***

Entry 4:
This record from Alexandria via LeMat-Bulk describes a relaxed structure of InSNCl2. The functional is PBE.

Unit cell a=6.155 b=6.155 c=3.318 alpha=90.00 beta=90.00 gamma=90.00
Element x y z (fractional)
In: 0.000 0.000 0.000
S: 0.500 0.500 0.000
N: 0.500 0.500 0.500
Cl: 0.000 0.500 0.500
Cl: 0.500 0.000 0.500

Output
magnetization = 0.6 μB/f.u.
space group = P4/mmm (123)

***

Entry 5:
This record from Alexandria via LeMat-Bulk describes a relaxed structure of InSNCl2. The functional is PBE.

Unit cell a=5.195 b=5.195 c=5.087 alpha=90.00 beta=90.00 gamma=90.00
Element x y z (fractional)
In: 0.000 0.000 0.000
S: 0.000 0.000 0.500
N: 0.500 0.500 0.500
Cl: 0.000 0.500 0.000
Cl: 0.500 0.000 0.000

Output
magnetization = 4.0 μB/f.u.
space group = P4/mmm (123)

***

Entry 6:
This record from Alexandria via LeMat-Bulk describes a relaxed structure of InS2NCl. The functional is PBE.

Unit cell a=3.973 b=3.973 c=6.567 alpha=90.00 beta=90.00 gamma=90.00
Element x y z (fractional)
In: 0.000 0.000 0.000
S: 0.000 0.500 0.500
S: 0.500 0.000 0.500
N: 0.500 0.500 0.500
Cl: 0.500 0.500 0.000

Output
magnetization = 0.0 μB/f.u.
space group = P4/mmm (123)

***

Entry 7:
This record from Alexandria via LeMat-Bulk describes a relaxed structure of InS2NCl. The functional is PBE.

Unit cell a=4.917 b=4.917 c=3.833 alpha=90.00 beta=90.00 gamma=90.00
Element x y z (fractional)
In: 0.000 0.000 0.000
S: 0.000 0.500 0.500
S: 0.500 0.000 0.500
N: 0.500 0.500 0.000
Cl: 0.500 0.500 0.500

Output
magnetization = 1.4 μB/f.u.
space group = P4/mmm (123)

***

Entry 8:
This record from Alexandria via LeMat-Bulk describes a relaxed structure of InS2NCl. The functional is PBE.

Unit cell a=5.264 b=5.264 c=4.307 alpha=90.00 beta=90.00 gamma=90.00
Element x y z (fractional)
In: 0.000 0.000 0.000
S: 0.000 0.500 0.000
S: 0.500 0.000 0.000
N: 0.000 0.000 0.500
Cl: 0.500 0.500 0.500

Output
magnetization = 5.0 μB/f.u.
space group = P4/mmm (123)

***

no.,E_form (uncorrected) (eV/atom)
1,1.4281
2,2.7152
3,1.2156
4,0.4707
5,0.7964
6,0.6418
7,1.3196
8,1.1420